DFT (SCAN) results for a crystal of ZnP2Ru relaxed with PBEsol.

abc: 3.309 4.223 4.399
angles: 90.00 112.09 90.00
Positions (direct):
1 P 0.896 0.000 0.791
2 P 0.320 0.500 0.641
3 Ru 0.186 0.000 0.372
4 Zn 0.599 0.500 0.198

Computed properties:
As for the space-group type: Amm2, No. 38. For the formation enthalpy at 0 K, the calculation gives -0.041 eV/atom. The crystal system is orthorhombic.

***

DFT (SCAN) results for a crystal of Tb8O13 relaxed with PBEsol.

abc: 9.251 9.226 9.303
angles: 108.50 111.88 107.91
Each line ends with the local moment (μB).
Positions (direct):
1 Tb 0.277 0.527 0.744  -0.01
2 Tb 0.192 0.725 0.479  -0.01
3 Tb 0.011 0.495 0.019  -0.02
4 Tb 0.999 0.771 0.741  -0.01
5 Tb 0.475 0.733 0.222  0.01
6 Tb 0.238 0.968 0.264  -0.02
7 Tb 0.758 0.770 0.974  -0.02
8 Tb 0.491 0.995 0.005  -0.03
9 Tb 0.523 0.499 0.513  -0.01
10 Tb 0.268 0.270 0.008  0.00
11 Tb 0.813 0.039 0.772  -0.01
12 Tb 0.527 0.264 0.748  -0.02
13 Tb 0.984 0.247 0.259  0.00
14 Tb 0.998 0.004 0.493  0.01
15 Tb 0.727 0.217 0.481  -0.01
16 Tb 0.730 0.467 0.251  -0.02
17 O 0.023 0.270 0.541  0.07
18 O 0.263 0.501 0.478  0.11
19 O 0.991 0.995 0.241  0.02
20 O 0.043 0.256 0.044  0.08
21 O 0.229 0.484 0.954  0.06
22 O 0.508 0.495 0.755  0.17
23 O 0.242 0.754 0.747  0.01
24 O 0.268 0.010 0.544  0.05
25 O 0.533 0.759 0.019  0.10
26 O 0.263 0.736 0.275  0.01
27 O 0.253 0.026 0.042  0.55
28 O 0.716 0.009 0.955  0.23
29 O 0.485 0.236 0.964  0.10
30 O 0.473 0.982 0.231  0.34
31 O 0.728 0.959 0.473  0.08
32 O 0.473 0.237 0.472  0.11
33 O 0.739 0.231 0.249  0.11
34 O 0.501 0.509 0.266  0.02
35 O 0.760 0.535 0.029  0.64
36 O 0.970 0.484 0.234  0.23
37 O 0.001 0.725 0.975  0.30
38 O 0.767 0.260 0.756  0.01
39 O 0.045 0.034 0.757  0.07
40 O 0.783 0.493 0.534  0.17
41 O 0.741 0.766 0.724  0.08
42 O 0.950 0.740 0.462  0.08

Computed properties:
The value obtained for the raw formation energy is -75.74 eV/f.u. As for the space-group type: P1, No. 1. The crystal system is triclinic.